Entry from Alexandria: crystalline LaReAs4 at its relaxed geometry (PBE).

a = 5.599 Å, b = 5.599 Å, c = 5.599 Å
α = 60.00°, β = 60.00°, γ = 60.00°
Fractional positions:
La1 0.000 0.000 0.000
Re1 0.750 0.750 0.750
As1 0.376 0.376 0.376
As2 0.376 0.376 0.871
As3 0.376 0.871 0.376
As4 0.871 0.376 0.376

## Properties
Size of the total moment = 2.0 Bohr magnetons per cell
E_tot = -5.5488 eV/atom
Energy relative to the elements = 2.681 eV/f.u.
N(E_F) = 0.812 states/eV/atom